A plane-wave DFT calculation with PBE-GGA was carried out for a relaxed SrPu2N3 crystal.

Summary:
Energy above the lowest structure with this stoichiometry: 0.1746 eV/atom
E_form (uncorrected): -20.0 kcal/mol of atoms

Cell: 3.6404 18.0888 8.1757 Å, 90.00 90.00 90.00°
Closest atoms and distances in Å follow each position.
Space group Cmcm (No. 63)
Inequivalent atoms, fractional coordinates:
Sr 0.0000 0.1573 0.2500  2 N 2.48
Pu 0.0000 0.1207 0.7500  4 N 2.19-2.23
Pu 0.0000 0.5000 0.0000  6 N 2.23-2.32
N 0.0000 0.0791 0.0014  3 Pu 2.19-2.32
N 0.0000 0.4506 0.2500  4 Pu 2.23

A plane-wave DFT calculation with PBE-GGA was carried out for a relaxed SrPuN crystal.

Summary:
Energy above the lowest structure with this stoichiometry: 0.3576 eV/atom
E_form (uncorrected): -5.3 kcal/mol of atoms

Cell: 3.2768 3.2768 12.9205 Å, 90.00 90.00 90.00°
Closest atoms and distances in Å follow each position.
Space group I4mm (No. 107)
Inequivalent atoms, fractional coordinates:
Sr 0.0000 0.0000 0.0000  1 Pu 3.18, 4 Sr 3.28, 4 N 3.40
Pu 0.0000 0.0000 0.2464  4 N 2.42
N 0.0000 0.0000 0.6929  4 Pu 2.42

A plane-wave DFT calculation with PBE-GGA was carried out for a relaxed SrPu6N8 crystal.

Summary:
E_form (uncorrected): -23.1 kcal/mol of atoms

Cell: 8.9243 8.9243 3.5036 Å, 90.00 90.00 120.00°
Closest atoms and distances in Å follow each position.
Space group P-3 (No. 147)
Inequivalent atoms, fractional coordinates:
Sr 0.0000 0.0000 0.0000  6 N 2.89
Pu 0.1422 0.4435 0.7401  3 N 2.17-2.24
N 0.0218 0.7014 0.7584  3 Pu 2.17-2.24
N 0.3333 0.6667 0.2463  6 Pu 2.54-2.57